Density functional theory data (PBE) for a geometry-optimized YZn2Se structure.

Values from the calculation:
The value obtained for the energy relative to the elements, uncorrected is -580 meV/atom. The space group is R3m.

Unit cell a=6.653 b=6.653 c=6.653 alpha=38.08 beta=38.08 gamma=38.08
Atoms (fractional coordinates):
Y 0.000 0.000 0.000
Zn 0.434 0.434 0.434
Zn 0.769 0.769 0.769
Se 0.261 0.261 0.261

Density functional theory data (PBE) for a geometry-optimized Al5Hg structure.

Values from the calculation:
For the energy above the most stable polymorph in this dataset, the calculation gives 10.0 meV/atom. The space group is Cmmm. The value obtained for the energy of formation from the pure elements is 0.098 eV/atom.

Unit cell a=6.580 b=6.580 c=4.198 alpha=90.00 beta=90.00 gamma=143.93
Atoms (fractional coordinates):
Al 0.000 0.000 0.000
Al 0.173 0.827 0.500
Al 0.326 0.674 0.000
Al 0.674 0.326 0.000
Al 0.827 0.173 0.500
Hg 0.500 0.500 0.500

Density functional theory data (PBE) for a geometry-optimized MgFe2TcIr structure.

Values from the calculation:
The space group is P4/mmm. The value obtained for the energy of formation from the pure elements is 2.002 eV/atom.

Unit cell a=4.123 b=4.123 c=4.392 alpha=90.00 beta=90.00 gamma=90.00
Atoms (fractional coordinates):
Mg 0.000 0.000 0.000
Fe 0.000 0.500 0.000
Fe 0.500 0.000 0.000
Tc 0.000 0.000 0.500
Ir 0.500 0.500 0.500

| no. | total magnetization (μB/cell) | mass density (g cm⁻³) | Fermi-level density of states (states/eV per cell) |
| --- | --- | --- | --- |
| 1 | 0.00 | 4.9 | 1.79 |
| 2 | 0.00 | 5.2 | 1.94 |
| 3 | 0.00 | 9.5 | 8.35 |